No. 1
The following is a DFT calculation (PBE-GGA) of a geometry-optimized Ge2Au2Se structure.

Cell lengths 3.905, 3.905, 7.426 Å; angles 74.76, 74.76, 90.00 degrees
Fractional coordinates of all 5 atoms:
Ge  0.599  0.599  0.803
Ge  0.401  0.401  0.197
Au  0.250  0.750  0.500
Au  0.750  0.250  0.500
Se  0.000  0.000  0.000

## Properties
Formation energy from raw total energies = 144 meV/atom

No. 2
The following is a DFT calculation (PBE-GGA) of a geometry-optimized FeBi3Br structure.

Cell lengths 5.178, 5.178, 5.178 Å; angles 90.00, 90.00, 90.00 degrees
Fractional coordinates of all 5 atoms:
Bi  0.500  0.000  0.000
Bi  0.000  0.000  0.500
Bi  0.000  0.500  0.000
Br  0.500  0.500  0.500
Fe  0.000  0.000  0.000

## Properties
Formation energy from raw total energies = 332 meV/atom

No. 3
The following is a DFT calculation (PBE-GGA) of a geometry-optimized CsLaZrOs2 structure.

Cell lengths 5.021, 5.483, 5.021 Å; angles 90.00, 90.00, 90.00 degrees
Fractional coordinates of all 5 atoms:
La  0.500  0.500  0.500
Zr  0.000  0.000  0.000
Cs  0.000  0.500  0.000
Os  0.500  0.000  0.000
Os  0.000  0.000  0.500

## Properties
Formation energy = 33.58 kcal/mol of atoms